K2LaZr: optimized geometry, GGA-PBE.

a = 5.9763 Å, b = 7.9699 Å, c = 3.4889 Å
α = 77.92°, β = 88.54°, γ = 111.68°
With the nearest neighbours (Å) after each atom.
Sites, in units of the cell vectors:
K1 0.0000 0.0000 0.0000  6 K 3.42-3.50
K2 0.5000 0.0000 0.5000  6 K 3.42-3.50
La1 0.0000 0.5000 0.5000  4 Zr 3.42-3.50, 2 La 3.49
Zr1 0.5000 0.5000 0.0000  4 La 3.42-3.50, 2 Zr 3.49

Output
- E above lowest polymorph (meV/atom) = 295.2
- total moment (μB/f.u.) = 0.42
- calculated formation energy (meV/atom) = 694